This record from Alexandria describes a relaxed structure of LiNi4Se. The functional is GGA-PBE.

abc: 4.769 4.769 4.769
angles: 60.00 60.00 60.00
Fractional coordinates of all 6 atoms:
Li 0.000 0.000 0.000
Ni 0.875 0.375 0.375
Ni 0.375 0.375 0.875
Ni 0.375 0.875 0.375
Ni 0.375 0.375 0.375
Se 0.750 0.750 0.750

Values from the calculation:
The total energy is -27.968 eV per cell. The value obtained for the uncorrected formation energy is 0.093 eV per atom. The mass density comes out at 6.94 Mg/m³. Its space group is F-43m (216). The spin magnetization comes out at 0.00 Bohr magnetons per cell.